Entry 1:
Here is a relaxed KMgZn2Ir crystal from Alexandria via LeMat-Bulk. Energies are from PBE.

POSCAR file:
```
KMgZn2Ir
1.0
4.9562 0.0000 0.0000
0.0000 4.9562 0.0000
0.0000 0.0000 5.0222
Mg Zn Ir K
1 2 1 1
Cartesian
0.0000 0.0000 2.5111
0.0000 2.4781 0.0000
2.4781 0.0000 0.0000
0.0000 0.0000 0.0000
2.4781 2.4781 2.5111
```

Computed properties:
SG: P4/mmm
Calculated volume, Å³ per cell: 123.4
ΔH_f (0 K), kJ/mol of formula units: -50
DOS(E_F), states/eV/f.u.: 2.05

---

Entry 2:
Here is a relaxed LaAsAu2F crystal from Alexandria via LeMat-Bulk. Energies are from PBE.

POSCAR file:
```
LaAsAu2F
1.0
-2.8800 -3.4049 2.3145
2.1328 0.8381 3.8869
-3.3630 3.5749 1.0744
As F Au La
1 1 2 1
Cartesian
-2.0551 0.5041 3.6379
0.0000 0.0000 0.0000
-1.6815 1.7875 0.5372
-1.4400 -1.7024 1.1572
1.0664 0.4191 1.9434
```

Computed properties:
SG: P4/mmm
Calculated volume, Å³ per cell: 113.9
ΔE_f (raw), kJ per mole of atoms: -69
DOS(E_F), states/eV/f.u.: 2.36

---

Entry 3:
Here is a relaxed SrMgTe2N crystal from Alexandria via LeMat-Bulk. Energies are from PBE.

POSCAR file:
```
SrMgTe2N
1.0
5.9025 0.0000 0.0000
0.0000 5.9025 0.0000
0.0000 0.0000 4.0237
Sr Mg Te N
1 1 2 1
Cartesian
2.9512 2.9512 2.0119
0.0000 0.0000 0.0000
0.0000 2.9512 0.0000
2.9512 0.0000 0.0000
0.0000 0.0000 2.0119
```

Computed properties:
SG: P4/mmm
Energy above the lowest structure with this stoichiometry, meV per atom: 0
Calculated volume, Å³ per cell: 140.2
ΔE_f (raw), kJ per mole of atoms: -18
DOS(E_F), states/eV/f.u.: 4.51

---

Entry 4:
Here is a relaxed B5C7 crystal from Alexandria via LeMat-Bulk. Energies are from PBE.

POSCAR file:
```
B5C7
1.0
3.9308 -0.0201 -2.1284
3.1326 2.3745 -2.1284
-0.1500 -0.0500 8.2345
B C
5 7
Cartesian
4.4577 1.4859 0.0499
3.1157 1.0386 1.2670
2.6699 0.8900 -0.3378
1.3382 0.4461 0.9275
3.4886 1.1629 4.9205
-0.0051 -0.0017 8.1466
6.0517 2.0172 -3.5212
4.6676 1.5559 3.9216
2.1375 0.7125 4.1253
1.0368 0.3456 5.1342
6.8150 2.2717 0.1675
5.6690 1.8897 1.1240
```

Computed properties:
SG: Cm
Energy above the lowest structure with this stoichiometry, meV per atom: 46
Calculated volume, Å³ per cell: 76.5
ΔH_f (0 K), kJ/mol of formula units: 352
DOS(E_F), states/eV/f.u.: 1.25

---

Entry 5:
Here is a relaxed NdSc2Ti crystal from Alexandria via LeMat-Bulk. Energies are from PBE.

POSCAR file:
```
NdSc2Ti
1.0
-1.6751 1.3525 -2.4699
-1.4619 -1.9080 -2.2267
-9.8759 -0.3212 4.3487
Nd Sc Ti
1 2 1
Cartesian
-6.4848 -0.4380 -0.1885
-7.9317 -0.2913 3.0465
-2.9981 -0.2152 -0.2578
-2.1048 -0.3705 -3.1221
```

Computed properties:
SG: R3m
Energy above the lowest structure with this stoichiometry, meV per atom: 20
Calculated volume, Å³ per cell: 98.8
ΔH_f (0 K), kJ/mol of formula units: 65
DOS(E_F), states/eV/f.u.: 6.92

---

Entry 6:
Here is a relaxed MgZn4P crystal from Alexandria via LeMat-Bulk. Energies are from PBE.

POSCAR file:
```
MgZn4P
1.0
0.0000 3.6746 3.6746
3.6746 0.0000 3.6746
3.6746 3.6746 0.0000
Mg Zn P
1 4 1
Cartesian
5.5119 5.5119 5.5119
2.7537 4.5955 4.5955
4.5955 4.5955 2.7537
4.5955 2.7537 4.5955
2.7537 2.7537 2.7537
0.0000 0.0000 0.0000
```

Computed properties:
SG: F-43m
Calculated volume, Å³ per cell: 99.2
ΔH_f (0 K), kJ/mol of formula units: 87
DOS(E_F), states/eV/f.u.: 2.41

---

| no. | magnetization (μB/f.u.) |
| --- | --- |
| 1 | 0.0 |
| 2 | 0.0 |
| 3 | 2.0 |
| 4 | 0.0 |
| 5 | 0.0 |
| 6 | 0.0 |